No. 1
A plane-wave DFT calculation with PBE-GGA was carried out for crystalline Rb3Tb at its relaxed geometry.

Cell lengths 7.921, 7.921, 7.921 Å; angles 133.14, 133.14, 68.43 degrees
Positions (direct):
Rb: 0.500 0.500 0.000
Rb: 0.250 0.750 0.500
Rb: 0.750 0.250 0.500
Tb: 0.000 0.000 0.000

Output
The value obtained for the density of states at the Fermi level is 6.4 states/eV/cell. Its symmetry is I4/mmm. The distance to the lowest polymorph of the same formula comes out at 0.000 eV/atom.


No. 2
A plane-wave DFT calculation with PBE-GGA was carried out for crystalline Rb3Tb at its relaxed geometry.

Cell lengths 7.191, 7.191, 7.191 Å; angles 60.00, 60.00, 60.00 degrees
Positions (direct):
Rb: 0.250 0.250 0.250
Rb: 0.750 0.750 0.750
Rb: 0.500 0.500 0.500
Tb: 0.000 0.000 0.000

Output
The value obtained for the density of states at the Fermi level is 7.3 states/eV/cell. Its symmetry is Fm-3m. The distance to the lowest polymorph of the same formula comes out at 0.010 eV/atom.